Computed, not measured: a geometry-optimized BaPm3Pb2 structure at the PBE-GGA level of DFT.

Structure (POSCAR):
```
BaPm3Pb2
1.0
9.5508 -2.6050 0.0000
9.5508 2.6050 0.0000
-4.6259 0.0000 9.0508
Ba Pm Pb
2 6 4
direct
0.1383 0.1383 0.0664 Ba
0.8617 0.8617 0.9336 Ba
0.0511 0.0511 0.3854 Pm
0.3081 0.3081 0.5696 Pm
0.4069 0.4069 0.3281 Pm
0.5931 0.5931 0.6719 Pm
0.6919 0.6919 0.4304 Pm
0.9489 0.9489 0.6146 Pm
0.2006 0.2006 0.7323 Pb
0.4837 0.4837 0.8352 Pb
0.5163 0.5163 0.1648 Pb
0.7994 0.7994 0.2677 Pb
```

Output
Magnetic moment: 0.00 μB/cell
E_form: -0.32 eV per atom